Here is a relaxed Y5Si2C crystal from Alexandria via LeMat-Bulk. Energies are from PBE-GGA.

Results
Total moment in μB per formula unit: 0.5
Theoretical density in Mg/m³: 3.9
Uncorrected formation energy in eV per atom: -0.260
Density of states at the Fermi level in states/eV per cell: 10.526

Unit cell a=5.541 b=6.648 c=13.004 alpha=90.00 beta=90.00 gamma=114.63
Fractional coordinates of all 16 atoms:
Si  0.827  0.654  0.434
Si  0.173  0.346  0.934
Si  0.173  0.346  0.566
Si  0.827  0.654  0.066
Y  0.663  0.327  0.604
Y  0.337  0.673  0.396
Y  0.296  0.591  0.750
Y  0.663  0.327  0.896
Y  0.337  0.673  0.104
Y  0.945  0.889  0.876
Y  0.945  0.889  0.624
Y  0.055  0.111  0.376
Y  0.704  0.409  0.250
Y  0.055  0.111  0.124
C  0.800  0.599  0.750
C  0.200  0.401  0.250